The following is a GGA-PBE calculation of a relaxed InP2Pt crystal, from Alexandria.

abc: 3.2044 6.0727 7.9066
angles: 90.00 90.00 90.00
With the nearest neighbours (Å) after each atom.
Space group Imm2 (No. 44)
Symmetry-distinct sites (fractional):
In: 0.0000 0.0000 0.0000 (multiplicity 2)  2 Pt 2.81, 2 P 2.83
P: 0.0000 0.0000 0.4888 (multiplicity 2)  2 P 2.22, 2 Pt 2.36
P: 0.0000 0.5000 0.7953 (multiplicity 2)  2 P 2.22
Pt: 0.0000 0.5000 0.2079 (multiplicity 2)  2 P 2.36

Output
E_form: 0.209 eV per atom



The following is a GGA-PBE calculation of a relaxed InP2Pt crystal, from Alexandria.

abc: 4.2518 4.2518 7.6348
angles: 90.00 90.00 90.00
With the nearest neighbours (Å) after each atom.
Space group I-4m2 (No. 119)
Symmetry-distinct sites (fractional):
In: 0.0000 0.0000 0.0000 (multiplicity 2)  4 Pt 2.86, 8 P 2.86-3.01
P: 0.0000 0.0000 0.5000 (multiplicity 2)  4 Pt 2.86, 4 P 2.86, 4 In 3.01
P: 0.0000 0.5000 0.7500 (multiplicity 2)  4 P 2.86, 4 In 2.86, 4 Pt 3.01
Pt: 0.0000 0.5000 0.2500 (multiplicity 2)  4 In 2.86, 8 P 2.86-3.01

Output
E_form: 0.347 eV per atom



The following is a GGA-PBE calculation of a relaxed InP2Pt crystal, from Alexandria.

abc: 3.3956 3.3956 6.7604
angles: 90.00 90.00 90.00
With the nearest neighbours (Å) after each atom.
Space group P4/mmm (No. 123)
Symmetry-distinct sites (fractional):
In: 0.0000 0.0000 0.0000 (multiplicity 1)  8 P 3.33, 2 Pt 3.38, 4 In 3.40
P: 0.5000 0.5000 0.3403 (multiplicity 2)  1 P 2.16
Pt: 0.0000 0.0000 0.5000 (multiplicity 1)  8 P 2.63

Output
E_form: 0.100 eV per atom



The following is a GGA-PBE calculation of a relaxed InP2Pt crystal, from Alexandria.

abc: 2.8282 4.8766 4.9910
angles: 90.00 90.00 90.00
With the nearest neighbours (Å) after each atom.
Space group Pmmm (No. 47)
Symmetry-distinct sites (fractional):
In: 0.0000 0.0000 0.0000 (multiplicity 1)  4 Pt 2.82, 2 In 2.83, 4 P 2.87
P: 0.0000 0.5000 0.5000 (multiplicity 1)  6 P 2.82-2.83, 4 Pt 2.87
P: 0.5000 0.0000 0.5000 (multiplicity 1)  6 P 2.82-2.83, 4 In 2.87
Pt: 0.5000 0.5000 0.0000 (multiplicity 1)  4 In 2.82, 2 Pt 2.83, 4 P 2.87

Output
E_form: 0.326 eV per atom